# 1
Te2PtPb2F2 after structural relaxation. Source: OQMD, functional PBE.

Geometry as CIF:
```
data_Te2PtPb2F2
_chemical_formula_sum 'Te2 Pt1 Pb2 F2'
_space_group_name_H-M_alt 'P -4 m 2'
_space_group_IT_number 115
_space_group_name_Hall 'P -4 -2'
_cell_length_a 4.198
_cell_length_b 4.198
_cell_length_c 9.222
_cell_angle_alpha 90.00
_cell_angle_beta 90.00
_cell_angle_gamma 90.00
loop_
_atom_site_label
_atom_site_type_symbol
_atom_site_fract_x
_atom_site_fract_y
_atom_site_fract_z
Te1 Te 0.000 0.500 0.168
Pt1 Pt 0.000 0.000 0.000
Pb1 Pb 0.000 0.500 0.662
F1 F 0.000 0.000 0.500
F2 F 0.500 0.500 0.500
```

Summary:
- VASP energy: -30.9 eV per cell
- Volume: 162.5 Å³/cell

***

# 2
YTe3PdPb after structural relaxation. Source: OQMD, functional PBE.

Geometry as CIF:
```
data_YTe3PdPb
_chemical_formula_sum 'Y4 Te12 Pd4 Pb4'
_space_group_name_H-M_alt 'C m c m'
_space_group_IT_number 63
_space_group_name_Hall '-C 2c 2'
_cell_length_a 4.124
_cell_length_b 14.981
_cell_length_c 11.350
_cell_angle_alpha 90.00
_cell_angle_beta 90.00
_cell_angle_gamma 90.00
loop_
_atom_site_label
_atom_site_type_symbol
_atom_site_fract_x
_atom_site_fract_y
_atom_site_fract_z
Y1 Y 0.000 0.000 0.000
Te1 Te 0.000 0.079 0.250
Te2 Te 0.000 0.353 0.048
Pd1 Pd 0.000 0.459 0.250
Pb1 Pb 0.000 0.207 0.750
```

Summary:
- VASP energy: -117.6 eV per cell
- Distance to the lowest polymorph of the same formula: 0.0 meV per atom
- Volume: 701.2 Å³/cell

***

# 3
TmZrAg after structural relaxation. Source: OQMD, functional PBE.

Geometry as CIF:
```
data_TmZrAg
_chemical_formula_sum 'Tm4 Zr4 Ag4'
_space_group_name_H-M_alt 'F -4 3 m'
_space_group_IT_number 216
_space_group_name_Hall 'F -4 2 3'
_cell_length_a 6.731
_cell_length_b 6.731
_cell_length_c 6.731
_cell_angle_alpha 90.00
_cell_angle_beta 90.00
_cell_angle_gamma 90.00
loop_
_atom_site_label
_atom_site_type_symbol
_atom_site_fract_x
_atom_site_fract_y
_atom_site_fract_z
Tm1 Tm 0.000 0.000 0.000
Zr1 Zr 0.250 0.250 0.250
Ag1 Ag 0.250 0.250 0.750
```

Summary:
- ΔE_f: 876 meV/atom
- VASP energy: -52.9 eV per cell
- Volume: 305.0 Å³/cell

***

# 4
HfInFeHg after structural relaxation. Source: OQMD, functional PBE.

Geometry as CIF:
```
data_HfInFeHg
_chemical_formula_sum 'Hf4 In4 Fe4 Hg4'
_space_group_name_H-M_alt 'F -4 3 m'
_space_group_IT_number 216
_space_group_name_Hall 'F -4 2 3'
_cell_length_a 6.642
_cell_length_b 6.642
_cell_length_c 6.642
_cell_angle_alpha 90.00
_cell_angle_beta 90.00
_cell_angle_gamma 90.00
loop_
_atom_site_label
_atom_site_type_symbol
_atom_site_fract_x
_atom_site_fract_y
_atom_site_fract_z
Hf1 Hf 0.000 0.000 0.000
In1 In 0.000 0.000 0.500
Fe1 Fe 0.250 0.250 0.750
Hg1 Hg 0.250 0.250 0.250
```

Summary:
- VASP energy: -82.3 eV per cell
- Distance to the lowest polymorph of the same formula: 0.0 meV per atom
- Volume: 293.0 Å³/cell

***

# 5
Y2Fe17 after structural relaxation. Source: OQMD, functional PBE.

Geometry as CIF:
```
data_Y2Fe17
_chemical_formula_sum 'Y6 Fe51'
_space_group_name_H-M_alt 'R -3 m'
_space_group_IT_number 166
_space_group_name_Hall '-R 3 2"'
_cell_length_a 8.4083
_cell_length_b 8.4083
_cell_length_c 12.3227
_cell_angle_alpha 90.00
_cell_angle_beta 90.00
_cell_angle_gamma 120.00
loop_
_atom_site_label
_atom_site_type_symbol
_atom_site_fract_x
_atom_site_fract_y
_atom_site_fract_z
Y1 Y 0.0000 0.0000 0.1588
Fe1 Fe 0.0000 0.0000 0.4037
Fe2 Fe 0.0000 0.2963 0.5000
Fe3 Fe 0.0000 0.5000 0.0000
Fe4 Fe 0.0000 0.5000 0.3428
```

Summary:
- ΔE_f: -10 meV/atom
- VASP energy: -463.1 eV per cell
- Volume: 754.5 Å³/cell

***

# 6
HoLu6I after structural relaxation. Source: OQMD, functional PBE.

Geometry as CIF:
```
data_HoLu6I
_chemical_formula_sum 'Ho1 Lu6 I1'
_space_group_name_H-M_alt 'P -6 m 2'
_space_group_IT_number 187
_space_group_name_Hall 'P -6 2'
_cell_length_a 6.9458
_cell_length_b 6.9458
_cell_length_c 5.5667
_cell_angle_alpha 90.00
_cell_angle_beta 90.00
_cell_angle_gamma 120.00
loop_
_atom_site_label
_atom_site_type_symbol
_atom_site_fract_x
_atom_site_fract_y
_atom_site_fract_z
Ho1 Ho 0.0000 0.0000 0.0000
Lu1 Lu 0.9996 0.4998 0.0000
Lu2 Lu 0.3324 0.1662 0.5000
I1 I 0.3333 0.6667 0.5000
```

Summary:
- VASP energy: -33.3 eV per cell
- Volume: 232.6 Å³/cell

***

# 7
CdSiAg2Te2S2 after structural relaxation. Source: OQMD, functional PBE.

Geometry as CIF:
```
data_CdSiAg2Te2S2
_chemical_formula_sum 'Cd4 Si4 Ag8 Te8 S8'
_space_group_name_H-M_alt 'F m m 2'
_space_group_IT_number 42
_space_group_name_Hall 'F 2 -2'
_cell_length_a 8.360
_cell_length_b 8.700
_cell_length_c 12.015
_cell_angle_alpha 90.00
_cell_angle_beta 90.00
_cell_angle_gamma 90.00
loop_
_atom_site_label
_atom_site_type_symbol
_atom_site_fract_x
_atom_site_fract_y
_atom_site_fract_z
Cd1 Cd 0.000 0.000 0.000
Si1 Si 0.000 0.000 0.495
Ag1 Ag 0.250 0.250 0.282
Te1 Te 0.000 0.227 0.628
S1 S 0.213 0.000 0.392
```

Summary:
- VASP energy: -115.0 eV per cell
- Distance to the lowest polymorph of the same formula: 18.4 meV per atom
- Volume: 873.8 Å³/cell

***

# 8
HfBeTlCu after structural relaxation. Source: OQMD, functional PBE.

Geometry as CIF:
```
data_HfBeTlCu
_chemical_formula_sum 'Hf4 Be4 Tl4 Cu4'
_space_group_name_H-M_alt 'F -4 3 m'
_space_group_IT_number 216
_space_group_name_Hall 'F -4 2 3'
_cell_length_a 6.465
_cell_length_b 6.465
_cell_length_c 6.465
_cell_angle_alpha 90.00
_cell_angle_beta 90.00
_cell_angle_gamma 90.00
loop_
_atom_site_label
_atom_site_type_symbol
_atom_site_fract_x
_atom_site_fract_y
_atom_site_fract_z
Hf1 Hf 0.000 0.000 0.000
Be1 Be 0.250 0.250 0.750
Tl1 Tl 0.250 0.250 0.250
Cu1 Cu 0.000 0.000 0.500
```

Summary:
- VASP energy: -72.4 eV per cell
- Distance to the lowest polymorph of the same formula: 140.5 meV per atom
- Volume: 270.2 Å³/cell